1.
Below is a relaxed structure of LiGa2H6, with properties calculated at the PBE-GGA level.

abc: 5.9463 6.0887 6.0887
angles: 91.57 78.61 78.61
Atoms (fractional coordinates):
Li 0.2500 0.0872 0.9128
Li 0.7500 0.9128 0.0872
Ga 0.1945 0.5949 0.7545
Ga 0.3055 0.2455 0.4051
Ga 0.8055 0.4051 0.2455
Ga 0.6945 0.7545 0.5949
H 0.4362 0.6648 0.5875
H 0.0638 0.4125 0.3352
H 0.5638 0.3352 0.4125
H 0.9362 0.5875 0.6648
H 0.7710 0.9187 0.4048
H 0.7290 0.5952 0.0813
H 0.2290 0.0813 0.5952
H 0.2710 0.4048 0.9187
H 0.0963 0.8262 0.9174
H 0.4037 0.0826 0.1738
H 0.9037 0.1738 0.0826
H 0.5963 0.9174 0.8262

Spin magnetization, Bohr magnetons per cell: 0.00
Energy above the lowest structure with this stoichiometry, eV/atom: 0.000
VASP energy, eV/cell: -55.3

***

2.
Below is a relaxed structure of Ba2Pt2Pb, with properties calculated at the PBE-GGA level.

abc: 6.3148 6.3148 6.0403
angles: 58.49 58.49 90.00
Atoms (fractional coordinates):
Pb 0.0000 0.0000 0.0000
Ba 0.7500 0.2500 0.5000
Ba 0.2500 0.7500 0.5000
Pt 0.3394 0.3394 0.3212
Pt 0.6606 0.6606 0.6788

Spin magnetization, Bohr magnetons per cell: 0.00
VASP energy, eV/cell: -22.2
Energy of formation, eV/atom: -0.512

***

3.
Below is a relaxed structure of Li2NiHgN, with properties calculated at the PBE-GGA level.

abc: 4.5943 4.8396 4.5943
angles: 90.00 90.00 90.00
Atoms (fractional coordinates):
Ni 0.0000 0.0000 0.0000
Li 0.0000 0.0000 0.5000
Li 0.5000 0.0000 0.0000
Hg 0.0000 0.5000 0.0000
N 0.5000 0.5000 0.5000

Spin magnetization, Bohr magnetons per cell: 2.05
Energy above the lowest structure with this stoichiometry, eV/atom: 1.394
VASP energy, eV/cell: -12.8
Raw formation energy, eV/f.u.: 5.43

***

4.
Below is a relaxed structure of Cs2RbZnH, with properties calculated at the PBE-GGA level.

abc: 6.2120 6.2120 5.9236
angles: 90.00 90.00 90.00
Atoms (fractional coordinates):
Cs 0.0000 0.5000 0.0000
Cs 0.5000 0.0000 0.0000
H 0.0000 0.0000 0.0000
Zn 0.5000 0.5000 0.5000
Rb 0.0000 0.0000 0.5000

Spin magnetization, Bohr magnetons per cell: 0.00
VASP energy, eV/cell: -6.9

***

5.
Below is a relaxed structure of CaTb3Rh4, with properties calculated at the PBE-GGA level.

abc: 4.8655 6.8330 9.7303
angles: 90.00 90.00 90.00
Atoms (fractional coordinates):
Rh 0.5000 0.7575 0.0000
Rh 0.5000 0.7575 0.5000
Rh 0.5000 0.2425 0.0000
Rh 0.5000 0.2425 0.5000
Rh 0.0003 0.7575 0.7500
Rh 0.9997 0.7575 0.2500
Rh 0.9997 0.2425 0.2500
Rh 0.0003 0.2425 0.7500
Ca 0.0000 0.5000 0.0000
Ca 0.0000 0.5000 0.5000
Tb 0.0000 0.0000 0.0000
Tb 0.0000 0.0000 0.5000
Tb 0.5003 0.0000 0.7500
Tb 0.4997 0.0000 0.2500
Tb 0.5002 0.5000 0.7500
Tb 0.4998 0.5000 0.2500

Spin magnetization, Bohr magnetons per cell: 0.00
VASP energy, eV/cell: -102.4
Energy of formation, eV/atom: -0.740

***

6.
Below is a relaxed structure of CaAl2In, with properties calculated at the PBE-GGA level.

abc: 4.7670 4.7670 10.3772
angles: 76.72 76.72 90.00
Atoms (fractional coordinates):
Ca 0.5000 0.5000 0.0000
Ca 0.2500 0.7500 0.5000
Al 0.7559 0.1250 0.2500
Al 0.9941 0.6250 0.2500
Al 0.3750 0.2441 0.7500
Al 0.8750 0.0059 0.7500
In 0.0000 0.0000 0.0000
In 0.7500 0.2500 0.5000

Spin magnetization, Bohr magnetons per cell: 0.00
VASP energy, eV/cell: -23.6
Energy of formation, eV/atom: 0.107

***

7.
Below is a relaxed structure of Rb2NbBrF6, with properties calculated at the PBE-GGA level.

abc: 7.2102 7.2102 7.2100
angles: 60.00 60.00 90.00
Atoms (fractional coordinates):
Nb 0.0000 0.0000 0.0000
Br 0.5000 0.5000 0.0000
Rb 0.7500 0.2500 0.5000
Rb 0.2500 0.7500 0.5000
F 0.1899 0.1899 0.6202
F 0.8101 0.8101 0.3798
F 0.1899 0.1899 0.0000
F 0.8101 0.8101 0.0000
F 0.8101 0.1899 0.0000
F 0.1899 0.8101 0.0000

Spin magnetization, Bohr magnetons per cell: 0.00
Energy above the lowest structure with this stoichiometry, eV/atom: 0.154
VASP energy, eV/cell: -51.3
Raw formation energy, eV/f.u.: -26.39

***

8.
Below is a relaxed structure of PtCl5, with properties calculated at the PBE-GGA level.

abc: 6.1254 6.1254 9.5613
angles: 72.16 72.16 33.09
Atoms (fractional coordinates):
Pt 0.7042 0.7042 0.5008
Cl 0.0179 0.0179 0.9996
Cl 0.6846 0.6846 0.9995
Cl 0.3517 0.3517 0.9986
Cl 0.2971 0.2971 0.5829
Cl 0.1111 0.1111 0.4187

Spin magnetization, Bohr magnetons per cell: 0.00
Energy above the lowest structure with this stoichiometry, eV/atom: 0.099
VASP energy, eV/cell: -15.1
Raw formation energy, eV/f.u.: 0.14